Here is an optimized crystal structure of Er2ReB6 from Alexandria via LeMat-Bulk. Energies are from PBEsol.

Cell and atoms, written as POSCAR:
```
Er2ReB6
1.0
3.611 0.000 0.000
0.000 9.078 0.000
0.000 0.000 11.428
Er B Re
8 24 4
Direct
0.000 0.443 0.130 Er
0.000 0.323 0.414 Er
0.000 0.557 0.870 Er
0.000 0.677 0.586 Er
0.000 0.943 0.370 Er
0.000 0.177 0.914 Er
0.000 0.057 0.630 Er
0.000 0.823 0.086 Er
0.500 0.947 0.933 B
0.500 0.370 0.815 B
0.500 0.553 0.433 B
0.500 0.750 0.919 B
0.500 0.208 0.735 B
0.500 0.019 0.788 B
0.500 0.292 0.235 B
0.500 0.792 0.265 B
0.500 0.901 0.528 B
0.500 0.519 0.712 B
0.500 0.708 0.765 B
0.500 0.401 0.972 B
0.500 0.447 0.567 B
0.500 0.250 0.581 B
0.500 0.599 0.028 B
0.500 0.481 0.288 B
0.500 0.870 0.685 B
0.500 0.099 0.472 B
0.500 0.981 0.212 B
0.500 0.750 0.419 B
0.500 0.630 0.185 B
0.500 0.053 0.067 B
0.500 0.250 0.081 B
0.500 0.130 0.315 B
0.000 0.361 0.679 Re
0.000 0.861 0.821 Re
0.000 0.639 0.321 Re
0.000 0.139 0.179 Re
```

ΔE_f: -0.731 eV per atom
DOS at the Fermi energy: 0.267 states/eV per atom
calculated total energy: -7.985 eV per atom

Here is an optimized crystal structure of Be2InSb from Alexandria via LeMat-Bulk. Energies are from PBEsol.

Cell and atoms, written as POSCAR:
```
Be2InSb
1.0
-0.237 3.090 -1.534
-1.998 -1.376 -2.464
-4.917 1.254 3.287
Be Sb In
2 1 1
Direct
0.000 0.000 0.315 Be
0.000 0.000 0.685 Be
0.500 0.500 0.500 Sb
0.500 0.500 0.000 In
```

DOS at the Fermi energy: 0.462 states/eV per atom
formation energy (no corrections): 618 meV per atom
energy above the lowest structure with this stoichiometry: 174 meV/atom
calculated total energy: -3.267 eV per atom

Here is an optimized crystal structure of TlGaP2 from Alexandria via LeMat-Bulk. Energies are from PBEsol.

Cell and atoms, written as POSCAR:
```
TlGaP2
1.0
5.723 0.000 0.000
0.000 5.723 0.000
-2.862 -2.862 5.659
P Tl Ga
4 2 2
Direct
0.841 0.375 0.250 P
0.625 0.591 0.750 P
0.409 0.875 0.250 P
0.125 0.159 0.750 P
0.000 0.000 0.000 Tl
0.250 0.750 0.500 Tl
0.500 0.500 0.000 Ga
0.750 0.250 0.500 Ga
```

ΔE_f: -0.072 eV per atom
DOS at the Fermi energy: 0.007 states/eV per atom
calculated total energy: -4.460 eV per atom

Here is an optimized crystal structure of MgFe3Ag from Alexandria via LeMat-Bulk. Energies are from PBEsol.

Cell and atoms, written as POSCAR:
```
MgFe3Ag
1.0
-3.870 1.821 -0.850
-2.008 -3.578 1.477
-0.081 1.702 4.014
Fe Ag Mg
3 1 1
Direct
0.500 0.000 0.000 Fe
0.000 0.000 0.500 Fe
0.000 0.500 0.000 Fe
0.500 0.500 0.500 Ag
0.000 0.000 0.000 Mg
```

ΔE_f: 1.682 eV per atom
DOS at the Fermi energy: 1.033 states/eV per atom
calculated total energy: -4.702 eV per atom

Here is an optimized crystal structure of CdAgAu2 from Alexandria via LeMat-Bulk. Energies are from PBEsol.

Cell and atoms, written as POSCAR:
```
CdAgAu2
1.0
4.105 0.000 0.000
0.000 4.105 0.000
0.000 0.000 4.108
Cd Au Ag
1 2 1
Direct
0.500 0.500 0.500 Cd
0.500 0.000 0.000 Au
0.000 0.500 0.000 Au
0.000 0.000 0.500 Ag
```

ΔE_f: -0.138 eV per atom
DOS at the Fermi energy: 0.257 states/eV per atom
calculated total energy: -3.227 eV per atom

Here is an optimized crystal structure of SrAs2CSe from Alexandria via LeMat-Bulk. Energies are from PBEsol.

Cell and atoms, written as POSCAR:
```
SrAs2CSe
1.0
-3.731 1.335 -3.842
-4.072 -0.080 3.927
0.894 5.489 1.039
As C Sr Se
2 1 1 1
Direct
0.000 0.000 0.500 As
0.000 0.500 0.000 As
0.500 0.500 0.500 C
0.000 0.000 0.000 Sr
0.500 0.000 0.000 Se
```

DOS at the Fermi energy: 1.497 states/eV per atom
formation energy (no corrections): 2276 meV per atom
calculated total energy: -2.833 eV per atom